*w*
# Zn5Cd | OQMD | GGA-PBE | optimized geometry
# Calculated density ... 7.3 Mg/m³
data_Zn5Cd
_cell_length_a 5.1834
_cell_length_b 5.1834
_cell_length_c 4.3029
_cell_angle_alpha 90.00
_cell_angle_beta 90.00
_cell_angle_gamma 120.00
_symmetry_space_group_name_H-M 'P 6/m m m'
_symmetry_Int_Tables_number 191
_symmetry_space_group_name_Hall '-P 6 2'
loop_
_atom_site_label
_atom_site_fract_x
_atom_site_fract_y
_atom_site_fract_z
Zn1 0.0000 0.5000 0.0000
Zn2 0.3333 0.6667 0.5000
Cd1 0.0000 0.0000 0.5000

*x*
# Zn5Cd | OQMD | GGA-PBE | optimized geometry
# Calculated density ... 7.7 Mg/m³
data_Zn5Cd
_cell_length_a 4.8209
_cell_length_b 4.8209
_cell_length_c 4.7324
_cell_angle_alpha 90.00
_cell_angle_beta 90.00
_cell_angle_gamma 120.00
_symmetry_space_group_name_H-M 'P -6 2 m'
_symmetry_Int_Tables_number 189
_symmetry_space_group_name_Hall 'P -6 -2'
loop_
_atom_site_label
_atom_site_fract_x
_atom_site_fract_y
_atom_site_fract_z
Zn1 0.0000 0.6495 0.0000
Zn2 0.3333 0.6667 0.5000
Cd1 0.0000 0.0000 0.5000

Most favorable structure: *x*. The second most favorable one is 0.033 eV/atom above it.

*w*
# Co3Cl | OQMD | GGA-PBE | optimized geometry
# Calculated density ... 7.0 Mg/m³
data_Co3Cl
_cell_length_a 3.689
_cell_length_b 3.689
_cell_length_c 3.689
_cell_angle_alpha 90.00
_cell_angle_beta 90.00
_cell_angle_gamma 90.00
_symmetry_space_group_name_H-M 'P m -3 m'
_symmetry_Int_Tables_number 221
_symmetry_space_group_name_Hall '-P 4 2 3'
loop_
_atom_site_label
_atom_site_fract_x
_atom_site_fract_y
_atom_site_fract_z
Co1 0.000 0.000 0.500
Cl1 0.500 0.500 0.500

*x*
# Co3Cl | OQMD | GGA-PBE | optimized geometry
# Calculated density ... 6.1 Mg/m³
data_Co3Cl
_cell_length_a 5.8749
_cell_length_b 5.8749
_cell_length_c 3.8610
_cell_angle_alpha 90.00
_cell_angle_beta 90.00
_cell_angle_gamma 120.00
_symmetry_space_group_name_H-M 'P 63/m m c'
_symmetry_Int_Tables_number 194
_symmetry_space_group_name_Hall '-P 6c 2c'
loop_
_atom_site_label
_atom_site_fract_x
_atom_site_fract_y
_atom_site_fract_z
Co1 0.1375 0.2749 0.2500
Cl1 0.3333 0.6667 0.7500

*y*
# Co3Cl | OQMD | GGA-PBE | optimized geometry
# Calculated density ... 7.0 Mg/m³
data_Co3Cl
_cell_length_a 3.538
_cell_length_b 3.538
_cell_length_c 8.003
_cell_angle_alpha 90.00
_cell_angle_beta 90.00
_cell_angle_gamma 90.00
_symmetry_space_group_name_H-M 'I 4/m m m'
_symmetry_Int_Tables_number 139
_symmetry_space_group_name_Hall '-I 4 2'
loop_
_atom_site_label
_atom_site_fract_x
_atom_site_fract_y
_atom_site_fract_z
Co1 0.000 0.000 0.000
Co2 0.000 0.500 0.250
Cl1 0.000 0.000 0.500

*z*
# Co3Cl | OQMD | GGA-PBE | optimized geometry
# Calculated density ... 7.1 Mg/m³
data_Co3Cl
_cell_length_a 5.842
_cell_length_b 5.842
_cell_length_c 5.842
_cell_angle_alpha 90.00
_cell_angle_beta 90.00
_cell_angle_gamma 90.00
_symmetry_space_group_name_H-M 'F m -3 m'
_symmetry_Int_Tables_number 225
_symmetry_space_group_name_Hall '-F 4 2 3'
loop_
_atom_site_label
_atom_site_fract_x
_atom_site_fract_y
_atom_site_fract_z
Co1 0.000 0.000 0.000
Co2 0.250 0.250 0.250
Cl1 0.000 0.000 0.500

Most favorable structure: *x*. The second most favorable one is 0.104 eV/atom above it.